1.
Material: TmRePd
Method: DFT, GGA-PBE
State: relaxed

Summary:
space group	F-43m (216)
E_form	0.502	eV per atom
E above lowest polymorph	0.0	meV per atom
E	-20.57	eV per cell

Cell: 4.4900 4.4900 4.4900 Å, 60.00 60.00 60.00°
Fractional coordinates of all 3 atoms:
1 Tm 0.0000 0.0000 0.0000
2 Re 0.5000 0.5000 0.5000
3 Pd 0.7500 0.7500 0.7500

=====

2.
Material: TbFe2SiP
Method: DFT, GGA-PBE
State: relaxed

Summary:
space group	I4mm (107)
E	-36.49	eV per cell

Cell: 5.4775 5.4775 5.4775 Å, 138.37 138.37 60.34°
Fractional coordinates of all 5 atoms:
1 Tb 0.0000 0.0000 0.0000
2 Fe 0.2545 0.7545 0.5000
3 Fe 0.7545 0.2545 0.5000
4 Si 0.6324 0.6324 0.0000
5 P 0.3657 0.3657 0.0000

=====

3.
Material: Cs2CuAgBr4Cl2
Method: DFT, GGA-PBE
State: relaxed

Summary:
space group	I4/mmm (139)
E	-28.48	eV per cell

Cell: 7.7349 7.7349 7.7349 Å, 121.76 121.76 86.98°
Fractional coordinates of all 10 atoms:
1 Cs 0.2500 0.7500 0.5000
2 Cs 0.7500 0.2500 0.5000
3 Cu 0.0000 0.0000 0.0000
4 Ag 0.5000 0.5000 0.0000
5 Br 0.2249 0.2249 0.4498
6 Br 0.2249 0.7751 0.0000
7 Br 0.7751 0.2249 0.0000
8 Br 0.7751 0.7751 0.5502
9 Cl 0.2851 0.2851 0.0000
10 Cl 0.7149 0.7149 0.0000

=====

4.
Material: Tb2NbAs3
Method: DFT, GGA-PBE
State: relaxed

Summary:
space group	P-3m1 (164)
E	-40.00	eV per cell

Cell: 3.9829 3.9829 9.7345 Å, 90.00 90.00 120.00°
Fractional coordinates of all 6 atoms:
1 Tb 0.3333 0.6667 0.3211
2 Tb 0.6667 0.3333 0.6789
3 Nb 0.0000 0.0000 0.0000
4 As 0.0000 0.0000 0.5000
5 As 0.3333 0.6667 0.8549
6 As 0.6667 0.3333 0.1451